DFT (PBE-GGA) results for AgTeAsBr2 after structural relaxation.

## Properties
Energy relative to the elements, uncorrected, eV/atom: 0.51
Final energy, eV/cell: -11.45
Polymorph energy (0 for the lowest one), eV per atom: 0.039

a b c (Å): 5.7945 5.7945 5.2069
angles (deg): 90.00 90.00 90.00
Positions (direct):
Te (0.0000, 0.0000, 0.0000)
Br (0.0000, 0.5000, 0.0000)
Ag (0.5000, 0.5000, 0.5000)
Br (0.5000, 0.0000, 0.0000)
As (0.0000, 0.0000, 0.5000)